! NdZnO, optimized geometry, DFT PBE; values from VASP
&SYSTEM
  ibrav = 0, nat = 6, ntyp = 3
/
ATOMIC_SPECIES
Zn 65.41 Zn.upf
Nd 144.24 Nd.upf
O 16.00 O.upf
ATOMIC_POSITIONS crystal
Zn 0.1488 0.2975 0.9468
Zn 0.8512 0.7025 0.0532
Nd 0.6091 0.2181 0.3265
Nd 0.3909 0.7819 0.6735
O 0.2997 0.5994 0.3980
O 0.7003 0.4006 0.6020
CELL_PARAMETERS angstrom
3.9539 0.0000 0.0000
-1.9770 3.4220 -0.2473
0.0000 -1.6403 8.8825
! raw formation energy: -1.8724 eV/atom
! final energy: -33.2 eV for the cell shown

---

! Nd3Zn5O12, optimized geometry, DFT PBE; values from VASP
&SYSTEM
  ibrav = 0, nat = 80, ntyp = 3
/
ATOMIC_SPECIES
Zn 65.41 Zn.upf
O 16.00 O.upf
Nd 144.24 Nd.upf
ATOMIC_POSITIONS crystal
Zn 0.5000 0.5000 0.0000
Zn 0.7500 0.1250 0.8750
Zn 0.6250 0.8750 0.2500
Zn 0.8750 0.2500 0.6250
Zn 0.8750 0.6250 0.7500
Zn 0.3750 0.2500 0.1250
Zn 0.1250 0.3750 0.2500
Zn 0.0000 0.5000 0.5000
Zn 0.1250 0.7500 0.3750
Zn 0.0000 0.0000 0.0000
Zn 0.3750 0.1250 0.7500
Zn 0.5000 0.0000 0.0000
Zn 0.6250 0.7500 0.8750
Zn 0.5000 0.5000 0.5000
Zn 0.0000 0.5000 0.0000
Zn 0.5000 0.0000 0.5000
Zn 0.2500 0.8750 0.1250
Zn 0.0000 0.0000 0.5000
Zn 0.7500 0.6250 0.3750
Zn 0.2500 0.3750 0.6250
O 0.2932 0.8760 0.9687
O 0.7932 0.4687 0.3760
O 0.1240 0.4172 0.0927
O 0.0828 0.1755 0.2068
O 0.4073 0.0313 0.3245
O 0.9687 0.5927 0.1755
O 0.9073 0.8245 0.5313
O 0.5313 0.2068 0.1240
O 0.7068 0.5828 0.1755
O 0.2932 0.4172 0.8245
O 0.4073 0.3760 0.5828
O 0.4687 0.7932 0.8760
O 0.9073 0.0828 0.8760
O 0.3245 0.7932 0.4172
O 0.4172 0.2932 0.3245
O 0.2068 0.5313 0.6240
O 0.5828 0.7068 0.6755
O 0.3760 0.4073 0.0828
O 0.7068 0.1240 0.0313
O 0.0927 0.1755 0.4687
O 0.9172 0.0927 0.6240
O 0.8245 0.9172 0.2932
O 0.0313 0.4073 0.8245
O 0.9172 0.8245 0.7932
O 0.5313 0.3245 0.9073
O 0.8245 0.9073 0.0313
O 0.6755 0.4687 0.5927
O 0.6240 0.5927 0.9172
O 0.1755 0.0927 0.9687
O 0.0313 0.6240 0.7068
O 0.6240 0.0313 0.2068
O 0.9687 0.3760 0.2932
O 0.1240 0.7068 0.5313
O 0.5828 0.8760 0.4073
O 0.3760 0.9687 0.7932
O 0.4687 0.6755 0.0927
O 0.3245 0.5313 0.4073
O 0.2068 0.6755 0.0828
O 0.5927 0.6240 0.4172
O 0.0828 0.9073 0.3760
O 0.0927 0.9172 0.1240
O 0.7932 0.3245 0.9172
O 0.8760 0.2932 0.4687
O 0.4172 0.1240 0.5927
O 0.6755 0.2068 0.5828
O 0.1755 0.0828 0.7068
O 0.5927 0.9687 0.6755
O 0.8760 0.5828 0.9073
Nd 0.2500 0.6250 0.8750
Nd 0.8750 0.7500 0.1250
Nd 0.7500 0.3750 0.1250
Nd 0.3750 0.6250 0.2500
Nd 0.3750 0.7500 0.6250
Nd 0.1250 0.2500 0.8750
Nd 0.8750 0.1250 0.2500
Nd 0.2500 0.1250 0.3750
Nd 0.1250 0.8750 0.7500
Nd 0.6250 0.3750 0.7500
Nd 0.7500 0.8750 0.6250
Nd 0.6250 0.2500 0.3750
CELL_PARAMETERS angstrom
11.0920 0.0000 0.0000
-3.6973 10.4576 0.0000
-3.6973 -5.2288 9.0566
! raw formation energy: -1.7769 eV/atom
! final energy: -462.8 eV for the cell shown

---

! NdZnO2, optimized geometry, DFT PBE; values from VASP
&SYSTEM
  ibrav = 0, nat = 4, ntyp = 3
/
ATOMIC_SPECIES
Zn 65.41 Zn.upf
Nd 144.24 Nd.upf
O 16.00 O.upf
ATOMIC_POSITIONS crystal
Zn 0.5000 0.5000 0.5000
Nd 0.0000 0.0000 0.0000
O 0.8864 0.8864 0.3408
O 0.1136 0.1136 0.6592
CELL_PARAMETERS angstrom
-0.8966 1.9617 2.6364
-1.8919 -1.2938 2.5198
4.4458 -1.5330 4.8532
! raw formation energy: -1.2299 eV/atom
! final energy: -20.9 eV for the cell shown

---

! Nd2ZnO, optimized geometry, DFT PBE; values from VASP
&SYSTEM
  ibrav = 0, nat = 4, ntyp = 3
/
ATOMIC_SPECIES
O 16.00 O.upf
Zn 65.41 Zn.upf
Nd 144.24 Nd.upf
ATOMIC_POSITIONS crystal
O 0.5000 0.5000 0.5000
Zn 0.0000 0.0000 0.0000
Nd 0.8844 0.8844 0.3469
Nd 0.1156 0.1156 0.6531
CELL_PARAMETERS angstrom
3.6533 0.0000 0.0000
1.8267 3.1639 0.0000
1.8267 1.0546 8.7826
! raw formation energy: -1.0137 eV/atom
! final energy: -19.8 eV for the cell shown